AgAsRh2, relaxed, DFT GGA-PBE; space group = No. 12; density of states at the Fermi level = 0.600 states/eV per atom; E_form = -0.052 eV/atom
1.0
3.540 -1.524 0.000
3.540 1.524 0.000
-1.214 0.000 6.200
Ag As Rh
1 1 2
Direct
0.000 0.000 0.000
0.500 0.500 0.500
0.242 0.242 0.700
0.758 0.758 0.300